Arrangement a

{"formula": "P2PdPt", "functional": "GGA-PBE", "state": "optimized geometry", "sg": "I-42d, No. 122", "cell": [[-2.728, 2.728, 5.203], [2.728, -2.728, 5.203], [2.728, 2.728, -5.203]], "species": ["P", "P", "P", "P", "Pd", "Pd", "Pt", "Pt"], "fractional_positions": [[0.119, 0.625, 0.994], [0.375, 0.369, 0.494], [0.631, 0.125, 0.006], [0.875, 0.881, 0.506], [0.250, 0.750, 0.500], [0.500, 0.500, 0.000], [0.000, 0.000, 0.000], [0.750, 0.250, 0.500]]}

=====

Arrangement b

{"formula": "P2PdPt", "functional": "GGA-PBE", "state": "optimized geometry", "sg": "Fm-3m, No. 225", "cell": [[0.000, 3.093, 3.093], [3.093, 0.000, 3.093], [3.093, 3.093, 0.000]], "species": ["P", "P", "Pd", "Pt"], "fractional_positions": [[0.250, 0.250, 0.250], [0.750, 0.750, 0.750], [0.000, 0.000, 0.000], [0.500, 0.500, 0.500]]}

=====

Which of them is the most stable, and which is the least stable? arrangement a and arrangement b, in that order.

=====

Arrangement a

{"formula": "PPd3Pt", "functional": "GGA-PBE", "state": "optimized geometry", "sg": "Pm-3m, No. 221", "cell": [[4.430, 0.000, 0.000], [0.000, 4.430, 0.000], [0.000, 0.000, 4.430]], "species": ["P", "Pd", "Pd", "Pd", "Pt"], "fractional_positions": [[0.000, 0.000, 0.000], [0.000, 0.000, 0.500], [0.000, 0.500, 0.000], [0.500, 0.000, 0.000], [0.500, 0.500, 0.500]]}

=====

Arrangement b

{"formula": "PPd3Pt", "functional": "GGA-PBE", "state": "optimized geometry", "sg": "C2/c, No. 15", "cell": [[4.869, -2.823, 0.000], [4.869, 2.823, 0.000], [-4.747, 0.000, 11.257]], "species": ["P", "P", "P", "P", "Pd", "Pd", "Pd", "Pd", "Pd", "Pd", "Pd", "Pd", "Pd", "Pd", "Pd", "Pd", "Pt", "Pt", "Pt", "Pt"], "fractional_positions": [[0.000, 0.000, 0.000], [0.000, 0.000, 0.500], [0.364, 0.636, 0.750], [0.636, 0.364, 0.250], [0.021, 0.695, 0.319], [0.234, 0.456, 0.106], [0.261, 0.544, 0.898], [0.305, 0.979, 0.181], [0.456, 0.234, 0.606], [0.456, 0.739, 0.602], [0.544, 0.261, 0.398], [0.544, 0.766, 0.394], [0.695, 0.021, 0.819], [0.739, 0.456, 0.102], [0.766, 0.544, 0.894], [0.979, 0.305, 0.681], [0.047, 0.252, 0.394], [0.252, 0.047, 0.894], [0.748, 0.953, 0.106], [0.953, 0.748, 0.606]]}

=====

Which of them is the most stable, and which is the least stable? arrangement b and arrangement a, in that order.

=====

Arrangement a

{"formula": "P2PdPtS", "functional": "GGA-PBE", "state": "optimized geometry", "sg": "P4/mmm, No. 123", "cell": [[4.566, 0.000, 0.000], [0.000, 4.566, 0.000], [0.000, 0.000, 4.977]], "species": ["P", "P", "Pd", "Pt", "S"], "fractional_positions": [[0.000, 0.500, 0.000], [0.500, 0.000, 0.000], [0.000, 0.000, 0.500], [0.500, 0.500, 0.000], [0.500, 0.500, 0.500]]}

=====

Arrangement b

{"formula": "P2PdPtS", "functional": "GGA-PBE", "state": "optimized geometry", "sg": "P4/mmm, No. 123", "cell": [[4.559, 0.000, 0.000], [0.000, 4.559, 0.000], [0.000, 0.000, 4.720]], "species": ["P", "P", "Pd", "Pt", "S"], "fractional_positions": [[0.000, 0.500, 0.000], [0.500, 0.000, 0.000], [0.000, 0.000, 0.000], [0.500, 0.500, 0.500], [0.000, 0.000, 0.500]]}

=====

Which of them is the most stable, and which is the least stable? arrangement a and arrangement b, in that order.

=====

Arrangement a

{"formula": "PPdPtS2", "functional": "GGA-PBE", "state": "optimized geometry", "sg": "P4/mmm, No. 123", "cell": [[4.678, 0.000, 0.000], [0.000, 4.678, 0.000], [0.000, 0.000, 4.528]], "species": ["P", "Pd", "Pt", "S", "S"], "fractional_positions": [[0.000, 0.000, 0.000], [0.000, 0.000, 0.500], [0.500, 0.500, 0.000], [0.000, 0.500, 0.500], [0.500, 0.000, 0.500]]}

=====

Arrangement b

{"formula": "PPdPtS2", "functional": "GGA-PBE", "state": "optimized geometry", "sg": "P4/mmm, No. 123", "cell": [[4.859, 0.000, 0.000], [0.000, 4.859, 0.000], [0.000, 0.000, 4.449]], "species": ["P", "Pd", "Pt", "S", "S"], "fractional_positions": [[0.000, 0.000, 0.000], [0.500, 0.500, 0.000], [0.000, 0.000, 0.500], [0.000, 0.500, 0.500], [0.500, 0.000, 0.500]]}

=====

Which of them is the most stable, and which is the least stable? arrangement b and arrangement a, in that order.